This record from Alexandria describes a relaxed structure of Nd5Sm5Sc. The functional is PBE.

a = 9.997 Å, b = 9.997 Å, c = 7.015 Å
α = 110.17°, β = 110.17°, γ = 35.28°
Sites, in units of the cell vectors:
Nd: 0.000 0.000 0.000
Nd: 0.327 0.327 0.070
Nd: 0.327 0.327 0.584
Nd: 0.673 0.673 0.416
Nd: 0.673 0.673 0.930
Sm: 0.125 0.125 0.628
Sm: 0.171 0.171 0.173
Sm: 0.500 0.500 0.500
Sm: 0.829 0.829 0.827
Sm: 0.875 0.875 0.372
Sc: 0.500 0.500 0.000

## Properties
N(E_F) = 18.069 states/eV per cell
Mass density = 6.7 Mg/m³
Formation enthalpy at 0 K = 243 meV/atom
E_tot = -51.09 eV/cell

***

This record from Alexandria describes a relaxed structure of Tb6PmPr2Nd. The functional is PBE.

a = 8.844 Å, b = 8.844 Å, c = 9.900 Å
α = 94.84°, β = 94.84°, γ = 117.94°
Sites, in units of the cell vectors:
Tb: 0.025 0.576 0.186
Tb: 0.121 0.738 0.557
Tb: 0.262 0.879 0.943
Tb: 0.297 0.507 0.380
Tb: 0.424 0.975 0.314
Tb: 0.493 0.703 0.120
Tb: 0.507 0.297 0.880
Tb: 0.576 0.025 0.686
Tb: 0.703 0.493 0.620
Tb: 0.738 0.121 0.057
Tb: 0.879 0.262 0.443
Tb: 0.975 0.424 0.814
Pm: 0.406 0.594 0.750
Pm: 0.594 0.406 0.250
Pr: 0.190 0.291 0.041
Pr: 0.291 0.190 0.541
Pr: 0.709 0.810 0.459
Pr: 0.810 0.709 0.959
Nd: 0.016 0.984 0.250
Nd: 0.984 0.016 0.750

## Properties
N(E_F) = 30.858 states/eV per cell
Mass density = 7.5 Mg/m³
Formation enthalpy at 0 K = 119 meV/atom
E_tot = -91.34 eV/cell

***

This record from Alexandria describes a relaxed structure of NbTcNi. The functional is PBE.

a = 3.446 Å, b = 4.127 Å, c = 12.259 Å
α = 90.00°, β = 90.00°, γ = 90.00°
Sites, in units of the cell vectors:
Nb: 0.000 0.000 0.163
Nb: 0.000 0.000 0.837
Nb: 0.500 0.500 0.163
Nb: 0.500 0.500 0.837
Tc: 0.000 0.500 0.348
Tc: 0.000 0.500 0.652
Tc: 0.500 0.000 0.348
Tc: 0.500 0.000 0.652
Ni: 0.000 0.000 0.500
Ni: 0.000 0.500 0.000
Ni: 0.500 0.000 0.000
Ni: 0.500 0.500 0.500

## Properties
E above lowest polymorph = 0.398 eV/f.u.
N(E_F) = 10.216 states/eV per cell
Mass density = 9.5 Mg/m³
Formation enthalpy at 0 K = -19 meV/atom
E_tot = -105.10 eV/cell

***

This record from Alexandria describes a relaxed structure of Te2PbN. The functional is PBE.

a = 7.249 Å, b = 7.249 Å, c = 7.249 Å
α = 90.00°, β = 90.00°, γ = 90.00°
Sites, in units of the cell vectors:
Te: 0.250 0.250 0.250
Te: 0.250 0.250 0.750
Te: 0.250 0.750 0.250
Te: 0.250 0.750 0.750
Te: 0.750 0.250 0.250
Te: 0.750 0.250 0.750
Te: 0.750 0.750 0.250
Te: 0.750 0.750 0.750
Pb: 0.000 0.000 0.000
Pb: 0.000 0.500 0.500
Pb: 0.500 0.000 0.500
Pb: 0.500 0.500 0.000
N: 0.000 0.000 0.500
N: 0.000 0.500 0.000
N: 0.500 0.000 0.000
N: 0.500 0.500 0.500

## Properties
E above lowest polymorph = 2.990 eV/f.u.
N(E_F) = 17.070 states/eV per cell
Mass density = 8.3 Mg/m³
E_tot = -52.16 eV/cell
E_form (uncorrected) = 1319 meV/atom

***

Among the records above, which one has the highest E_tot? Nd5Sm5Sc